Pr4Te3C | PBE-GGA | relaxed

```
Pr4Te3C
1.0
7.755 0.000 0.000
0.000 8.867 0.000
-2.401 0.000 6.965
Pr Te C
8 6 2
Direct
0.200 0.102 0.499 Pr
0.200 0.898 0.999 Pr
0.217 0.327 0.961 Pr
0.217 0.673 0.461 Pr
0.783 0.327 0.539 Pr
0.783 0.673 0.039 Pr
0.800 0.102 0.001 Pr
0.800 0.898 0.501 Pr
0.000 0.382 0.250 Te
0.000 0.618 0.750 Te
0.500 0.120 0.250 Te
0.500 0.377 0.750 Te
0.500 0.623 0.250 Te
0.500 0.880 0.750 Te
0.000 0.124 0.750 C
0.000 0.876 0.250 C
```

SG	P2/c (13)
energy above the most stable polymorph in this dataset	0	kJ/mol of formula units
raw formation energy	-1.10	eV per atom
density of states at the Fermi level	3.71	states/eV/f.u.